<P>
Density functional theory data (PBE-GGA) for a geometry-optimized RbHgSbTe2 structure.

abc: 6.448 6.448 6.353
angles: 90.00 90.00 90.00
Element x y z (fractional)
Rb 0.000 0.000 0.000
Hg 0.500 0.500 0.500
Sb 0.000 0.000 0.500
Te 0.000 0.500 0.000
Te 0.500 0.000 0.000

Computed properties:
Its space group is P4/mmm (123). The crystal system is tetragonal.

<Q>
Density functional theory data (PBE-GGA) for a geometry-optimized RbHgSbTe2 structure.

abc: 5.921 5.921 5.543
angles: 90.00 90.00 90.00
Element x y z (fractional)
Rb 0.000 0.000 0.000
Hg 0.500 0.500 0.500
Sb 0.500 0.500 0.000
Te 0.000 0.500 0.500
Te 0.500 0.000 0.500

Computed properties:
Its space group is P4/mmm (123). The crystal system is tetragonal.

<R>
Density functional theory data (PBE-GGA) for a geometry-optimized RbHgSbTe2 structure.

abc: 5.975 5.975 5.699
angles: 90.00 90.00 90.00
Element x y z (fractional)
Rb 0.000 0.000 0.000
Hg 0.500 0.500 0.000
Sb 0.500 0.500 0.500
Te 0.000 0.500 0.500
Te 0.500 0.000 0.500

Computed properties:
Its space group is P4/mmm (123). The crystal system is tetragonal.

The structure with the least stability is <P>.

<P>
Density functional theory data (PBE-GGA) for a geometry-optimized RbTlHg2Sb structure.

abc: 7.355 7.355 7.355
angles: 140.32 137.36 59.65
Element x y z (fractional)
Rb 0.000 0.000 0.000
Tl 0.243 0.743 0.500
Hg 0.615 0.615 0.000
Hg 0.752 0.252 0.500
Sb 0.388 0.388 0.000

Computed properties:
Its space group is Imm2 (44). The crystal system is orthorhombic.

<Q>
Density functional theory data (PBE-GGA) for a geometry-optimized RbTlHg2Sb structure.

abc: 5.853 5.853 6.269
angles: 90.00 90.00 90.00
Element x y z (fractional)
Rb 0.000 0.000 0.000
Tl 0.500 0.500 0.000
Hg 0.000 0.500 0.500
Hg 0.500 0.000 0.500
Sb 0.500 0.500 0.500

Computed properties:
Its space group is P4/mmm (123). The crystal system is tetragonal.

The structure with the least stability is <Q>.

<P>
Density functional theory data (PBE-GGA) for a geometry-optimized RbScHg3 structure.

abc: 5.696 5.696 5.696
angles: 90.00 90.00 90.00
Element x y z (fractional)
Rb 0.000 0.000 0.000
Sc 0.500 0.500 0.500
Hg 0.000 0.500 0.500
Hg 0.500 0.000 0.500
Hg 0.500 0.500 0.000

Computed properties:
Its space group is Pm-3m (221). The crystal system is cubic.

<Q>
Density functional theory data (PBE-GGA) for a geometry-optimized RbScHg3 structure.

abc: 6.200 6.200 6.200
angles: 90.00 90.00 90.00
Element x y z (fractional)
Rb 0.000 0.000 0.000
Sc 0.500 0.500 0.500
Hg 0.000 0.000 0.500
Hg 0.000 0.500 0.000
Hg 0.500 0.000 0.000

Computed properties:
Its space group is Pm-3m (221). The crystal system is cubic.

The structure with the least stability is <Q>.

<P>
Density functional theory data (PBE-GGA) for a geometry-optimized RbSc2Hg2 structure.

abc: 6.707 6.707 6.707
angles: 132.43 132.43 69.55
Element x y z (fractional)
Rb 0.000 0.000 0.000
Sc 0.346 0.346 0.000
Sc 0.654 0.654 0.000
Hg 0.250 0.750 0.500
Hg 0.750 0.250 0.500

Computed properties:
Its space group is I4/mmm (139). The crystal system is tetragonal.

<Q>
Density functional theory data (PBE-GGA) for a geometry-optimized RbSc2Hg2 structure.

abc: 8.999 8.999 3.276
angles: 90.00 90.00 90.00
Element x y z (fractional)
Rb 0.000 0.000 0.000
Rb 0.500 0.500 0.000
Sc 0.123 0.377 0.000
Sc 0.377 0.877 0.000
Sc 0.623 0.123 0.000
Sc 0.877 0.623 0.000
Hg 0.172 0.672 0.500
Hg 0.328 0.172 0.500
Hg 0.672 0.828 0.500
Hg 0.828 0.328 0.500

Computed properties:
Its space group is P4/mbm (127). The crystal system is tetragonal.

The structure with the least stability is <P>.

<P>
Density functional theory data (PBE-GGA) for a geometry-optimized RbHgSe structure.

abc: 4.940 4.953 11.461
angles: 89.69 89.78 89.99
Element x y z (fractional)
Rb 0.000 0.000 0.000
Rb 0.004 0.992 0.521
Hg 0.502 0.504 0.761
Hg 0.508 0.346 0.261
Se 0.500 0.501 0.977
Se 0.504 0.492 0.544

Computed properties:
Its space group is P1 (1). The crystal system is triclinic.

<Q>
Density functional theory data (PBE-GGA) for a geometry-optimized RbHgSe structure.

abc: 5.022 5.022 4.943
angles: 90.00 90.00 120.00
Element x y z (fractional)
Rb 0.000 0.000 0.000
Hg 0.333 0.667 0.500
Se 0.667 0.333 0.500

Computed properties:
Its space group is P-6m2 (187). The crystal system is hexagonal.

<R>
Density functional theory data (PBE-GGA) for a geometry-optimized RbHgSe structure.

abc: 5.677 5.677 7.012
angles: 90.00 90.00 107.37
Element x y z (fractional)
Rb 0.143 0.857 0.750
Rb 0.857 0.143 0.250
Hg 0.500 0.500 0.000
Hg 0.500 0.500 0.500
Se 0.247 0.753 0.250
Se 0.753 0.247 0.750

Computed properties:
Its space group is Cmcm (63). The crystal system is orthorhombic.

The structure with the least stability is <R>.

<P>
Density functional theory data (PBE-GGA) for a geometry-optimized Rb2Hg2Se3 structure.

abc: 7.761 7.761 8.890
angles: 122.67 122.67 33.64
Element x y z (fractional)
Rb 0.050 0.050 0.274
Rb 0.950 0.950 0.726
Hg 0.298 0.298 0.197
Hg 0.702 0.702 0.803
Se 0.325 0.325 0.892
Se 0.500 0.500 0.500
Se 0.675 0.675 0.108

Computed properties:
Its space group is C2/m (12). The crystal system is monoclinic.

<Q>
Density functional theory data (PBE-GGA) for a geometry-optimized Rb2Hg2Se3 structure.

abc: 12.814 12.814 7.381
angles: 104.77 104.77 102.10
Element x y z (fractional)
Rb 0.080 0.920 0.750
Rb 0.202 0.798 0.250
Rb 0.284 0.488 0.899
Rb 0.488 0.284 0.399
Rb 0.512 0.716 0.601
Rb 0.716 0.512 0.101
Rb 0.798 0.202 0.750
Rb 0.920 0.080 0.250
Hg 0.093 0.459 0.380
Hg 0.192 0.251 0.117
Hg 0.251 0.192 0.617
Hg 0.459 0.093 0.880
Hg 0.541 0.907 0.120
Hg 0.749 0.808 0.383
Hg 0.808 0.749 0.883
Hg 0.907 0.541 0.620
Se 0.080 0.213 0.747
Se 0.115 0.644 0.729
Se 0.213 0.080 0.247
Se 0.293 0.460 0.372
Se 0.356 0.885 0.771
Se 0.460 0.293 0.872
Se 0.540 0.707 0.128
Se 0.644 0.115 0.229
Se 0.707 0.540 0.628
Se 0.787 0.920 0.753
Se 0.885 0.356 0.271
Se 0.920 0.787 0.253

Computed properties:
Its space group is C2/c (15). The crystal system is monoclinic.

The structure with the least stability is <P>.